The following is a DFT calculation (PBE) of TiPPdCl2 after structural relaxation.

The distance to the lowest polymorph of the same formula comes out at 0.000 eV/atom. The formation energy without anion corrections is -15 kJ/mol of atoms.

Lattice parameters (Å, degrees): 4.6332 4.6332 4.9894 90.00 90.00 90.00
Closest atoms and distances in Å follow each position.
Sites, in units of the cell vectors:
Ti 0.0000 0.0000 0.0000  4 Cl 2.32, 2 P 2.49
P 0.0000 0.0000 0.5000  2 Ti 2.49
Pd 0.5000 0.5000 0.5000  4 P 3.28, 8 Cl 3.40
Cl 0.0000 0.5000 0.0000  2 Ti 2.32
Cl 0.5000 0.0000 0.0000  2 Ti 2.32